No. 1
# La3GaO6 | the Alexandria database | GGA-PBEsol | relaxed
data_La3GaO6
_cell_length_a 9.332
_cell_length_b 11.734
_cell_length_c 5.636
_cell_angle_alpha 90.00
_cell_angle_beta 90.00
_cell_angle_gamma 90.00
_symmetry_space_group_name_H-M 'C m c 21'
_symmetry_Int_Tables_number 36
_symmetry_space_group_name_Hall 'C 2c -2'
loop_
_atom_site_label
_atom_site_fract_x
_atom_site_fract_y
_atom_site_fract_z
La1 0.000 0.105 0.000
La2 0.193 0.393 0.038
Ga1 0.000 0.309 0.576
O1 0.000 0.286 0.251
O2 0.000 0.456 0.703
O3 0.153 0.240 0.740
O4 0.159 0.011 0.272
# N(E_F) ... 0.00 states/eV/atom
# Total moment ... 0.00 Bohr magnetons per cell
# ΔE_f (raw) ... -3.117 eV/atom



No. 2
# LaGaO3 | the Alexandria database | GGA-PBEsol | relaxed
data_LaGaO3
_cell_length_a 3.865
_cell_length_b 3.865
_cell_length_c 3.865
_cell_angle_alpha 90.00
_cell_angle_beta 90.00
_cell_angle_gamma 90.00
_symmetry_space_group_name_H-M 'P m -3 m'
_symmetry_Int_Tables_number 221
_symmetry_space_group_name_Hall '-P 4 2 3'
loop_
_atom_site_label
_atom_site_fract_x
_atom_site_fract_y
_atom_site_fract_z
La1 0.000 0.000 0.000
Ga1 0.500 0.500 0.500
O1 0.000 0.500 0.500
# N(E_F) ... 0.00 states/eV/atom
# Total moment ... 0.00 Bohr magnetons per cell
# ΔE_f (raw) ... -2.695 eV/atom